[1]
This record from Alexandria describes a relaxed structure of Ce3Er2Os2. The functional is PBE.

Cell and atoms, written as POSCAR:
```
Ce3Er2Os2
1.0
3.793 0.000 1.066
1.446 5.447 2.134
-0.293 -0.316 8.325
Ce Os Er
3 2 2
Direct
0.611 0.210 0.569
0.500 0.000 0.000
0.389 0.790 0.431
0.831 0.103 0.235
0.169 0.897 0.765
0.837 0.513 0.814
0.163 0.487 0.186
```

## Properties
For the volume, the calculation gives 25.108 Å³ per atom. The value obtained for the magnetization is 0.80 μB/cell. As for the formation energy: -0.186 eV per atom.

[2]
This record from Alexandria describes a relaxed structure of CeEr2Os. The functional is PBE.

Cell and atoms, written as POSCAR:
```
CeEr2Os
1.0
-0.518 -3.037 1.086
0.477 -2.548 -1.987
10.289 -2.461 2.939
Er Os Ce
2 1 1
Direct
0.898 0.898 0.306
0.102 0.102 0.694
0.500 0.500 0.500
0.000 0.000 0.000
```

## Properties
For the volume, the calculation gives 24.982 Å³ per atom. The value obtained for the magnetization is 0.25 μB/cell. As for the formation energy: 0.221 eV per atom.

[3]
This record from Alexandria describes a relaxed structure of Ce5ErOs3. The functional is PBE.

Cell and atoms, written as POSCAR:
```
Ce5ErOs3
1.0
7.720 0.119 0.118
2.228 7.393 0.118
3.089 2.333 9.435
Ce Os Er
10 6 2
Direct
0.428 0.428 0.373
0.299 0.701 0.000
0.572 0.572 0.627
0.232 0.232 0.965
0.768 0.768 0.035
0.034 0.642 0.667
0.358 0.966 0.333
0.642 0.034 0.667
0.701 0.299 0.000
0.966 0.358 0.333
0.342 0.342 0.669
0.668 0.668 0.834
0.658 0.658 0.331
0.000 0.000 0.000
0.332 0.332 0.166
0.000 0.000 0.500
0.894 0.894 0.301
0.106 0.106 0.699
```

## Properties
For the volume, the calculation gives 29.547 Å³ per atom. The value obtained for the magnetization is 5.55 μB/cell. As for the formation energy: -0.080 eV per atom.

[4]
This record from Alexandria describes a relaxed structure of CeEr2Os. The functional is PBE.

Cell and atoms, written as POSCAR:
```
CeEr2Os
1.0
-0.993 6.257 0.196
-3.536 -0.757 6.241
7.972 1.119 4.653
Er Os Ce
8 4 4
Direct
0.168 0.672 0.435
0.668 0.828 0.935
0.668 0.828 0.565
0.168 0.672 0.065
0.832 0.328 0.565
0.332 0.172 0.065
0.832 0.328 0.935
0.332 0.172 0.435
0.528 0.131 0.750
0.972 0.631 0.750
0.028 0.369 0.250
0.472 0.869 0.250
0.856 0.049 0.250
0.644 0.549 0.250
0.356 0.451 0.750
0.144 0.951 0.750
```

## Properties
For the volume, the calculation gives 26.567 Å³ per atom. The value obtained for the magnetization is 1.69 μB/cell. As for the formation energy: -0.255 eV per atom.

[5]
This record from Alexandria describes a relaxed structure of Ce2Er3Os2. The functional is PBE.

Cell and atoms, written as POSCAR:
```
Ce2Er3Os2
1.0
-0.794 -0.900 -3.641
4.093 -4.202 2.164
-8.083 -1.981 2.253
Er Ce Os
3 2 2
Direct
0.378 0.756 0.576
0.500 0.000 0.000
0.622 0.244 0.424
0.834 0.667 0.191
0.166 0.333 0.809
0.812 0.625 0.776
0.188 0.375 0.224
```

## Properties
For the volume, the calculation gives 25.906 Å³ per atom. The value obtained for the magnetization is 1.14 μB/cell. As for the formation energy: -0.228 eV per atom.

[6]
This record from Alexandria describes a relaxed structure of CeEr3Os8. The functional is PBE.

Cell and atoms, written as POSCAR:
```
CeEr3Os8
1.0
5.124 -0.001 1.542
2.328 4.564 1.542
-0.018 -0.011 9.287
Os Er Ce
8 3 1
Direct
0.688 0.688 0.937
0.438 0.438 0.185
0.187 0.188 0.437
0.434 0.938 0.690
0.940 0.438 0.185
0.438 0.940 0.185
0.938 0.434 0.690
0.938 0.938 0.690
0.500 0.500 0.500
0.375 0.375 0.874
0.000 0.000 0.000
0.875 0.875 0.376
```

## Properties
For the volume, the calculation gives 18.115 Å³ per atom. The value obtained for the magnetization is 0.00 μB/cell. As for the formation energy: -0.285 eV per atom.

[7]
This record from Alexandria describes a relaxed structure of CeErOsPd. The functional is PBE.

Cell and atoms, written as POSCAR:
```
CeErOsPd
1.0
4.907 0.000 0.000
2.454 4.250 0.000
2.454 1.417 4.007
Os Er Ce Pd
1 1 1 1
Direct
0.500 0.500 0.500
0.750 0.750 0.750
0.250 0.250 0.250
0.000 0.000 0.000
```

## Properties
For the volume, the calculation gives 20.890 Å³ per atom. The value obtained for the magnetization is 0.48 μB/cell. As for the formation energy: -0.481 eV per atom.

[8]
This record from Alexandria describes a relaxed structure of CeErPuOs. The functional is PBE.

Cell and atoms, written as POSCAR:
```
CeErPuOs
1.0
-2.596 0.906 -4.206
2.126 -0.788 -4.484
-1.541 -3.823 -2.874
Pu Er Os Ce
1 1 1 1
Direct
0.500 0.500 0.500
0.750 0.750 0.750
0.000 0.000 0.000
0.250 0.250 0.250
```

## Properties
For the volume, the calculation gives 22.432 Å³ per atom. The value obtained for the magnetization is 6.93 μB/cell. As for the formation energy: 0.099 eV per atom.

[9]
This record from Alexandria describes a relaxed structure of CeErOsRh. The functional is PBE.

Cell and atoms, written as POSCAR:
```
CeErOsRh
1.0
4.855 0.000 0.000
2.427 4.205 0.000
2.427 1.402 3.964
Ce Os Er Rh
1 1 1 1
Direct
0.000 0.000 0.000
0.250 0.250 0.250
0.500 0.500 0.500
0.750 0.750 0.750
```

## Properties
For the volume, the calculation gives 20.230 Å³ per atom. The value obtained for the magnetization is 0.06 μB/cell. As for the formation energy: -0.481 eV per atom.

[10]
This record from Alexandria describes a relaxed structure of CeErP. The functional is PBE.

Cell and atoms, written as POSCAR:
```
CeErP
1.0
6.497 0.000 0.000
0.000 3.864 0.000
0.000 -1.932 3.346
Ce Er P
1 1 1
Direct
0.742 0.667 0.333
0.252 0.333 0.667
0.006 0.000 0.000
```

## Properties
For the volume, the calculation gives 28.003 Å³ per atom. The value obtained for the magnetization is 1.96 μB/cell. As for the formation energy: -0.854 eV per atom.

[11]
This record from Alexandria describes a relaxed structure of CeErP2. The functional is PBE.

Cell and atoms, written as POSCAR:
```
CeErP2
1.0
4.031 0.000 0.000
2.016 3.491 0.000
2.016 1.164 6.559
Ce P Er
1 2 1
Direct
0.500 0.500 0.500
0.252 0.252 0.244
0.748 0.748 0.756
0.000 0.000 0.000
```

## Properties
For the volume, the calculation gives 23.078 Å³ per atom. The value obtained for the magnetization is 0.51 μB/cell. As for the formation energy: -1.555 eV per atom.

[12]
This record from Alexandria describes a relaxed structure of CeEr5P6. The functional is PBE.

Cell and atoms, written as POSCAR:
```
CeEr5P6
1.0
-1.280 6.780 0.059
0.288 -3.404 -5.995
-6.053 -2.334 2.359
P Er Ce
6 5 1
Direct
0.582 0.916 0.748
0.418 0.084 0.252
0.916 0.582 0.748
0.251 0.251 0.750
0.749 0.749 0.250
0.084 0.418 0.252
0.500 0.500 0.500
0.667 0.333 0.000
0.166 0.834 0.500
0.333 0.667 0.000
0.834 0.166 0.500
0.000 0.000 0.000
```

## Properties
For the volume, the calculation gives 22.363 Å³ per atom. The value obtained for the magnetization is 0.27 μB/cell. As for the formation energy: -1.598 eV per atom.

[13]
This record from Alexandria describes a relaxed structure of CeErP. The functional is PBE.

Cell and atoms, written as POSCAR:
```
CeErP
1.0
3.535 0.000 0.000
0.000 3.535 0.000
-1.767 -1.767 5.977
Ce P Er
1 1 1
Direct
0.249 0.249 0.499
0.613 0.613 0.226
0.988 0.988 0.975
```

## Properties
For the volume, the calculation gives 24.896 Å³ per atom. The value obtained for the magnetization is 1.09 μB/cell. As for the formation energy: -0.719 eV per atom.

[14]
This record from Alexandria describes a relaxed structure of CeEr3P4. The functional is PBE.

Cell and atoms, written as POSCAR:
```
CeEr3P4
1.0
-1.883 2.168 6.299
-5.632 -1.696 -3.634
0.496 -7.489 2.726
Er P Ce
6 8 2
Direct
0.750 0.000 0.377
0.750 0.500 0.127
0.250 0.500 0.377
0.750 0.500 0.623
0.250 0.000 0.623
0.250 0.500 0.873
0.001 0.252 0.624
0.500 0.253 0.874
0.501 0.252 0.376
0.999 0.748 0.376
0.500 0.747 0.126
0.499 0.748 0.624
0.000 0.253 0.126
0.000 0.747 0.874
0.250 0.000 0.127
0.750 0.000 0.873
```

## Properties
For the volume, the calculation gives 22.518 Å³ per atom. The value obtained for the magnetization is 0.65 μB/cell. As for the formation energy: -1.587 eV per atom.

[15]
This record from Alexandria describes a relaxed structure of Ce4ErP5. The functional is PBE.

Cell and atoms, written as POSCAR:
```
Ce4ErP5
1.0
-4.907 2.973 -0.426
-5.798 -3.846 1.093
-2.173 2.848 6.064
Ce P Er
4 5 1
Direct
0.600 0.601 0.200
0.201 0.200 0.399
0.801 0.800 0.601
0.402 0.399 0.800
0.298 0.803 0.604
0.100 0.604 0.197
0.902 0.396 0.803
0.704 0.197 0.396
0.501 0.000 0.000
0.001 0.000 0.000
```

## Properties
For the volume, the calculation gives 23.775 Å³ per atom. The value obtained for the magnetization is 2.38 μB/cell. As for the formation energy: -1.514 eV per atom.

[16]
This record from Alexandria describes a relaxed structure of CeErP2. The functional is PBE.

Cell and atoms, written as POSCAR:
```
CeErP2
1.0
-3.410 1.687 1.096
-0.947 0.239 3.837
1.727 6.809 2.044
Ce P Er
1 2 1
Direct
0.497 0.497 0.508
0.254 0.254 0.239
0.079 0.079 0.762
0.670 0.670 0.991
```

## Properties
For the volume, the calculation gives 23.587 Å³ per atom. The value obtained for the magnetization is 0.87 μB/cell. As for the formation energy: -1.391 eV per atom.

[17]
This record from Alexandria describes a relaxed structure of Ce4Er3P8. The functional is PBE.

Cell and atoms, written as POSCAR:
```
Ce4Er3P8
1.0
-4.670 -5.481 -3.715
7.608 1.053 -2.366
2.469 -1.283 7.540
P Er Ce
8 3 4
Direct
0.500 0.252 0.748
0.002 0.249 0.249
0.500 0.748 0.252
0.508 0.755 0.755
0.998 0.751 0.751
0.492 0.245 0.245
0.000 0.247 0.753
0.000 0.753 0.247
0.500 0.000 0.500
0.500 0.500 0.500
0.500 0.500 0.000
0.500 0.000 0.000
0.000 0.000 0.000
0.000 0.500 0.000
0.000 0.000 0.500
```

## Properties
For the volume, the calculation gives 24.632 Å³ per atom. The value obtained for the magnetization is 0.84 μB/cell. As for the formation energy: -1.287 eV per atom.

[18]
This record from Alexandria describes a relaxed structure of Ce2ErP3. The functional is PBE.

Cell and atoms, written as POSCAR:
```
Ce2ErP3
1.0
3.956 0.000 -0.901
-0.205 3.950 -0.902
-0.018 -0.018 9.051
Ce P Er
2 3 1
Direct
0.100 0.101 0.205
0.769 0.770 0.543
0.599 0.600 0.203
0.270 0.271 0.544
0.934 0.936 0.874
0.434 0.436 0.874
```

## Properties
For the volume, the calculation gives 23.551 Å³ per atom. The value obtained for the magnetization is 1.13 μB/cell. As for the formation energy: -1.525 eV per atom.

[19]
This record from Alexandria describes a relaxed structure of CeErP2. The functional is PBE.

Cell and atoms, written as POSCAR:
```
CeErP2
1.0
-1.875 0.513 3.486
3.942 -0.622 -0.073
1.083 6.913 -0.435
Er P Ce
1 2 1
Direct
0.000 0.500 0.000
0.667 0.833 0.758
0.333 0.167 0.242
0.000 0.500 0.500
```

## Properties
For the volume, the calculation gives 24.180 Å³ per atom. The value obtained for the magnetization is 0.79 μB/cell. As for the formation energy: -1.322 eV per atom.

[20]
This record from Alexandria describes a relaxed structure of CeErP. The functional is PBE.

Cell and atoms, written as POSCAR:
```
CeErP
1.0
3.485 0.000 0.000
0.000 3.479 0.000
0.000 1.740 12.011
P Er Ce
2 2 2
Direct
0.250 0.127 0.746
0.750 0.873 0.254
0.750 0.692 0.616
0.250 0.308 0.384
0.250 0.441 0.118
0.750 0.559 0.882
```

## Properties
For the volume, the calculation gives 24.271 Å³ per atom. The value obtained for the magnetization is 1.23 μB/cell. As for the formation energy: -0.703 eV per atom.